(1)
Material: ZrTaCrRh
Method: DFT, PBE
State: optimized geometry

Values from the calculation:
* mass density: 10.8 Mg/m³
* energy relative to the elements: -0.25 eV per atom

```
data_ZrTaCrRh
_cell_length_a 4.5234
_cell_length_b 4.5234
_cell_length_c 4.5234
_cell_angle_alpha 60.00
_cell_angle_beta 60.00
_cell_angle_gamma 60.00
_symmetry_space_group_name_H-M 'P 1'
_symmetry_Int_Tables_number 1
loop_
_symmetry_equiv_pos_as_xyz
'x,y,z'
loop_
_atom_site_label
_atom_site_type_symbol
_atom_site_fract_x
_atom_site_fract_y
_atom_site_fract_z
Cr1 Cr 0.5000 0.5000 0.5000
Rh1 Rh 0.0000 0.0000 0.0000
Zr1 Zr 0.2500 0.2500 0.2500
Ta1 Ta 0.7500 0.7500 0.7500
```

(2)
Material: Te2AsPb
Method: DFT, PBE
State: optimized geometry

Values from the calculation:
* ΔE_f (raw): -0.074 eV/atom
* mass density: 7.0 Mg/m³
* E above lowest polymorph: 0 meV/atom

```
data_Te2AsPb
_cell_length_a 7.7927
_cell_length_b 6.4350
_cell_length_c 6.2515
_cell_angle_alpha 137.83
_cell_angle_beta 142.89
_cell_angle_gamma 53.75
_symmetry_space_group_name_H-M 'P 1'
_symmetry_Int_Tables_number 1
loop_
_symmetry_equiv_pos_as_xyz
'x,y,z'
loop_
_atom_site_label
_atom_site_type_symbol
_atom_site_fract_x
_atom_site_fract_y
_atom_site_fract_z
Pb1 Pb 0.8846 0.2112 0.5319
As1 As 0.3670 0.6400 0.0140
Te1 Te 0.8707 0.9620 0.8243
Te2 Te 0.3778 0.6867 0.6298
```

(3)
Material: KTbGaTe3
Method: DFT, PBE
State: optimized geometry

Values from the calculation:
* ΔE_f (raw): -0.949 eV/atom
* mass density: 4.8 Mg/m³

```
data_KTbGaTe3
_cell_length_a 4.5423
_cell_length_b 9.5802
_cell_length_c 10.7162
_cell_angle_alpha 105.20
_cell_angle_beta 90.00
_cell_angle_gamma 90.00
_symmetry_space_group_name_H-M 'P 1'
_symmetry_Int_Tables_number 1
loop_
_symmetry_equiv_pos_as_xyz
'x,y,z'
loop_
_atom_site_label
_atom_site_type_symbol
_atom_site_fract_x
_atom_site_fract_y
_atom_site_fract_z
K1 K 0.2500 0.1952 0.2341
K2 K 0.7500 0.8048 0.7659
Tb1 Tb 0.2500 0.6585 0.1321
Tb2 Tb 0.7500 0.3415 0.8679
Ga1 Ga 0.2500 0.0776 0.6109
Ga2 Ga 0.7500 0.9224 0.3891
Te1 Te 0.7500 0.8840 0.1278
Te2 Te 0.2500 0.1160 0.8722
Te3 Te 0.2500 0.7783 0.4452
Te4 Te 0.7500 0.2217 0.5548
Te5 Te 0.7500 0.4487 0.1633
Te6 Te 0.2500 0.5513 0.8367
```

(4)
Material: Tl2SbCl5
Method: DFT, PBE
State: optimized geometry

Values from the calculation:
* ΔE_f (raw): -0.955 eV/atom
* mass density: 3.6 Mg/m³

```
data_Tl2SbCl5
_cell_length_a 5.9683
_cell_length_b 7.6053
_cell_length_c 8.5759
_cell_angle_alpha 96.48
_cell_angle_beta 109.97
_cell_angle_gamma 113.17
_symmetry_space_group_name_H-M 'P 1'
_symmetry_Int_Tables_number 1
loop_
_symmetry_equiv_pos_as_xyz
'x,y,z'
loop_
_atom_site_label
_atom_site_type_symbol
_atom_site_fract_x
_atom_site_fract_y
_atom_site_fract_z
Tl1 Tl 0.5313 0.6852 0.2906
Tl2 Tl 0.6154 0.3706 0.7654
Sb1 Sb 0.0717 0.0278 0.0278
Cl1 Cl 0.9732 0.7082 0.1458
Cl2 Cl 0.3511 0.2641 0.3488
Cl3 Cl 0.7996 0.7915 0.7068
Cl4 Cl 0.1771 0.3474 0.9101
Cl5 Cl 0.4807 0.0281 0.0277
```

(5)
Material: CsH2IO
Method: DFT, PBE
State: optimized geometry

Values from the calculation:
* mass density: 3.6 Mg/m³

```
data_CsH2IO
_cell_length_a 4.6589
_cell_length_b 7.3738
_cell_length_c 7.8547
_cell_angle_alpha 90.00
_cell_angle_beta 90.00
_cell_angle_gamma 108.42
_symmetry_space_group_name_H-M 'P 1'
_symmetry_Int_Tables_number 1
loop_
_symmetry_equiv_pos_as_xyz
'x,y,z'
loop_
_atom_site_label
_atom_site_type_symbol
_atom_site_fract_x
_atom_site_fract_y
_atom_site_fract_z
Cs1 Cs 0.3836 0.7672 0.7500
Cs2 Cs 0.6164 0.2328 0.2500
H1 H 0.0539 0.1077 0.9240
H2 H 0.9461 0.8923 0.0760
H3 H 0.0539 0.1077 0.5760
H4 H 0.9461 0.8923 0.4240
I1 I 0.6608 0.3216 0.7500
I2 I 0.3392 0.6784 0.2500
O1 O 0.0000 0.0000 0.0000
O2 O 0.0000 0.0000 0.5000
```

(6)
Material: KFeCo
Method: DFT, PBE
State: optimized geometry

Values from the calculation:
* mass density: 2.8 Mg/m³
* E above lowest polymorph: 143 meV/atom
* energy relative to the elements: 0.56 eV per atom

```
data_KFeCo
_cell_length_a 4.5737
_cell_length_b 11.0520
_cell_length_c 4.5735
_cell_angle_alpha 103.40
_cell_angle_beta 64.37
_cell_angle_gamma 117.95
_symmetry_space_group_name_H-M 'P 1'
_symmetry_Int_Tables_number 1
loop_
_symmetry_equiv_pos_as_xyz
'x,y,z'
loop_
_atom_site_label
_atom_site_type_symbol
_atom_site_fract_x
_atom_site_fract_y
_atom_site_fract_z
K1 K 0.5276 0.1586 0.0826
K2 K 0.3933 0.5831 0.5287
Co1 Co 0.7162 0.8707 0.0614
Co2 Co 0.2163 0.8710 0.5616
Fe1 Fe 0.1611 0.8202 0.0573
Fe2 Fe 0.7717 0.9214 0.5660
```

(7)
Material: KTa2In
Method: DFT, PBE
State: optimized geometry

Values from the calculation:
* mass density: 9.2 Mg/m³
* energy relative to the elements: 0.86 eV per atom

```
data_KTa2In
_cell_length_a 2.9020
_cell_length_b 2.9020
_cell_length_c 11.0835
_cell_angle_alpha 90.00
_cell_angle_beta 90.00
_cell_angle_gamma 90.00
_symmetry_space_group_name_H-M 'P 1'
_symmetry_Int_Tables_number 1
loop_
_symmetry_equiv_pos_as_xyz
'x,y,z'
loop_
_atom_site_label
_atom_site_type_symbol
_atom_site_fract_x
_atom_site_fract_y
_atom_site_fract_z
In1 In 0.5000 0.5000 0.2500
K1 K 0.5000 0.5000 0.7500
Ta1 Ta 0.0000 0.0000 0.0439
Ta2 Ta 0.0000 0.0000 0.4561
```

(8)
Material: KNbSiRh2
Method: DFT, PBE
State: optimized geometry

Values from the calculation:
* ΔE_f (raw): 0.929 eV/atom
* mass density: 5.7 Mg/m³

```
data_KNbSiRh2
_cell_length_a 4.4923
_cell_length_b 5.2474
_cell_length_c 4.4923
_cell_angle_alpha 90.00
_cell_angle_beta 90.00
_cell_angle_gamma 90.00
_symmetry_space_group_name_H-M 'P 1'
_symmetry_Int_Tables_number 1
loop_
_symmetry_equiv_pos_as_xyz
'x,y,z'
loop_
_atom_site_label
_atom_site_type_symbol
_atom_site_fract_x
_atom_site_fract_y
_atom_site_fract_z
Si1 Si 0.0000 0.0000 0.0000
Nb1 Nb 0.5000 0.5000 0.5000
Rh1 Rh 0.0000 0.0000 0.5000
Rh2 Rh 0.5000 0.0000 0.0000
K1 K 0.0000 0.5000 0.0000
```

In eV/atom, the raw total energy values for the records above are, in order, -9.60, -3.73, -3.98, -3.22, -3.78, -4.99, -6.03, -5.33.